This record from the Alexandria database describes FeIr2 after structural relaxation. The functional is PBE.

## Properties
- crystal system = tetragonal
- E_form (meV/atom) = 221

Lattice parameters (Å, degrees): 6.1245 6.1245 4.4405 90.00 90.00 90.00
Last column: nearest neighbours and their distance in Å.
Space group I4/mcm (No. 140)
Asymmetric unit:
Fe 0.0000 0.0000 0.2500 [4 per cell]  2 Fe 2.22
Ir 0.1479 0.3521 0.0000 [8 per cell]  7 Ir 2.56-2.87, 4 Fe 2.59